1.
Computed, not measured: a relaxed La2TbEr8 crystal at the PBE level of DFT.

Computed properties:
Its symmetry is C2/m. Its energy above the most stable polymorph in this dataset is 0.00 kcal/mol of atoms. The calculated volume is 31.9 Å³/atom.

a b c (Å): 5.0412 7.9532 9.4119
angles (deg): 104.70 105.53 90.00
Last column: nearest neighbours and their distance in Å.
Fractional positions:
1 La 0.7729 0.3630 0.5457  10 Er 3.55-3.62, 2 La 3.57
2 La 0.2271 0.6370 0.4543  10 Er 3.55-3.62, 2 La 3.57
3 Tb 0.5000 0.0000 0.0000  12 Er 3.53-3.54
4 Er 0.4114 0.5470 0.8228  8 Er 3.49-3.59, 1 Tb 3.54, 3 La 3.59-3.60
5 Er 0.6804 0.9064 0.3607  1 Tb 3.54, 8 Er 3.54-3.60, 3 La 3.55-3.58
6 Er 0.8656 0.8251 0.7312  7 Er 3.51-3.59, 2 Tb 3.53, 3 La 3.59-3.62
7 Er 0.9567 0.2725 0.9133  9 Er 3.51-3.57, 2 Tb 3.54, 1 La 3.59
8 Er 0.1344 0.1749 0.2688  7 Er 3.51-3.59, 2 Tb 3.53, 3 La 3.59-3.62
9 Er 0.3196 0.0936 0.6393  1 Tb 3.54, 8 Er 3.54-3.60, 3 La 3.55-3.58
10 Er 0.5886 0.4530 0.1772  8 Er 3.49-3.59, 1 Tb 3.54, 3 La 3.59-3.60
11 Er 0.0433 0.7275 0.0867  9 Er 3.51-3.57, 2 Tb 3.54, 1 La 3.59

2.
Computed, not measured: a relaxed LaTb7Er4 crystal at the PBE level of DFT.

Computed properties:
Its symmetry is C2/m. Its energy above the most stable polymorph in this dataset is 6.15 kcal/mol of atoms. The calculated volume is 33.0 Å³/atom.

a b c (Å): 5.8973 11.5191 6.7090
angles (deg): 82.92 63.93 75.17
Last column: nearest neighbours and their distance in Å.
Fractional positions:
1 La 0.0000 0.0000 0.0000  4 Tb 2.95-3.12
2 Tb 0.7904 0.9211 0.4981  1 La 3.12, 4 Tb 3.16-3.43, 4 Er 3.26-3.39
3 Tb 0.2096 0.0789 0.5019  1 La 3.12, 4 Tb 3.16-3.43, 4 Er 3.26-3.39
4 Tb 0.0566 0.6642 0.2225  4 Tb 3.31-3.50, 3 Er 3.57-3.64
5 Tb 0.9434 0.3358 0.7775  4 Tb 3.31-3.50, 3 Er 3.57-3.64
6 Tb 0.3662 0.5055 0.7620  4 Tb 3.16-3.50, 3 Er 3.26-3.47
7 Tb 0.5000 0.0000 0.0000  2 La 2.95, 2 Tb 3.16
8 Tb 0.6338 0.4945 0.2380  4 Tb 3.16-3.50, 3 Er 3.26-3.47
9 Er 0.6293 0.2254 0.5160  7 Tb 3.37-3.57, 2 Er 3.72
10 Er 0.3707 0.7746 0.4840  7 Tb 3.37-3.57, 2 Er 3.72
11 Er 0.7444 0.6861 0.8251  5 Tb 3.26-3.64
12 Er 0.2556 0.3139 0.1749  5 Tb 3.26-3.64

3.
Computed, not measured: a relaxed La3TbEr crystal at the PBE level of DFT.

Computed properties:
Its symmetry is Pbcm. Its energy above the most stable polymorph in this dataset is 2.19 kcal/mol of atoms. The calculated volume is 35.7 Å³/atom.

a b c (Å): 3.6104 11.1401 17.7491
angles (deg): 90.00 90.00 90.00
Last column: nearest neighbours and their distance in Å.
Fractional positions:
1 La 0.7415 0.5000 0.7500  4 Er 3.34-3.35, 6 La 3.61-3.65
2 La 0.2585 0.0000 0.2500  4 Er 3.34-3.35, 6 La 3.61-3.65
3 La 0.2585 0.5000 0.2500  4 Er 3.34-3.35, 6 La 3.61-3.65
4 La 0.7415 0.0000 0.7500  4 Er 3.34-3.35, 6 La 3.61-3.65
5 La 0.2449 0.5585 0.9245  1 Er 3.43, 6 La 3.47-3.65, 1 Tb 3.82
6 La 0.2449 0.4415 0.5755  1 Er 3.43, 6 La 3.47-3.65, 1 Tb 3.82
7 La 0.7551 0.0585 0.0755  1 Er 3.43, 6 La 3.47-3.65, 1 Tb 3.82
8 La 0.7551 0.9415 0.4245  1 Er 3.43, 6 La 3.47-3.65, 1 Tb 3.82
9 La 0.2449 0.0585 0.5755  1 Er 3.43, 6 La 3.47-3.65, 1 Tb 3.82
10 La 0.2449 0.9415 0.9245  1 Er 3.43, 6 La 3.47-3.65, 1 Tb 3.82
11 La 0.7551 0.5585 0.4245  1 Er 3.43, 6 La 3.47-3.65, 1 Tb 3.82
12 La 0.7551 0.4415 0.0755  1 Er 3.43, 6 La 3.47-3.65, 1 Tb 3.82
13 Tb 0.7372 0.2500 0.8973  2 Er 3.53, 2 Tb 3.61, 8 La 3.82-3.92
14 Tb 0.7372 0.7500 0.6027  2 Er 3.53, 2 Tb 3.61, 8 La 3.82-3.92
15 Tb 0.2628 0.7500 0.1027  2 Er 3.53, 2 Tb 3.61, 8 La 3.82-3.92
16 Tb 0.2628 0.2500 0.3973  2 Er 3.53, 2 Tb 3.61, 8 La 3.82-3.92
17 Er 0.7618 0.2500 0.2265  6 La 3.34-3.43, 2 Tb 3.53, 2 Er 3.61
18 Er 0.7618 0.7500 0.2735  6 La 3.34-3.43, 2 Tb 3.53, 2 Er 3.61
19 Er 0.2382 0.7500 0.7735  6 La 3.34-3.43, 2 Tb 3.53, 2 Er 3.61
20 Er 0.2382 0.2500 0.7265  6 La 3.34-3.43, 2 Tb 3.53, 2 Er 3.61